Record 1
The following is a DFT calculation (GGA-PBE) of a relaxed structure of DyGe6.

POSCAR file:
```
DyGe6
1.0
-3.523 3.523 3.523
3.523 -3.523 3.523
3.523 3.523 -3.523
Dy Ge
1 6
Cartesian
0.000 0.000 0.000
3.523 1.761 0.000
3.523 0.000 1.761
1.761 3.523 0.000
1.761 0.000 3.523
0.000 3.523 1.761
0.000 1.761 3.523
```

Output
Space group: Im-3m, No. 229
Formation enthalpy at 0 K (eV/atom): 0.279
D(E_F) (states/eV/atom): 0.7462
Calculated volume (Å³ per cell): 174.8

***

Record 2
The following is a DFT calculation (GGA-PBE) of a relaxed structure of Dy2Ge3.

POSCAR file:
```
Dy2Ge3
1.0
-2.042 3.198 4.190
2.042 -3.198 4.190
2.042 3.198 -4.190
Dy Ge
2 3
Cartesian
0.000 0.000 1.885
0.000 0.000 6.495
2.042 1.277 0.000
0.000 3.198 0.000
0.000 1.921 4.190
```

Output
Space group: Immm, No. 71
Formation enthalpy at 0 K (eV/atom): -0.739
D(E_F) (states/eV/atom): 0.3095
Excess energy over the best structure of this formula in the dataset (meV per atom): 0
Calculated volume (Å³ per cell): 109.4

***

Record 3
The following is a DFT calculation (GGA-PBE) of a relaxed structure of Dy2GeH.

POSCAR file:
```
Dy2GeH
1.0
0.000 2.599 5.933
2.569 0.000 5.933
2.569 2.599 0.000
Dy Ge H
2 1 1
Cartesian
2.569 2.599 1.720
2.569 2.599 10.146
2.569 2.599 5.933
3.854 3.898 8.899
```

Output
Space group: F222, No. 22
D(E_F) (states/eV/atom): 0.7673
Excess energy over the best structure of this formula in the dataset (meV per atom): 0
Calculated volume (Å³ per cell): 79.2